Here is crystalline Pm3TePtN at its relaxed geometry from Alexandria via LeMat-Bulk. Energies are from PBE-GGA.

DOS at the Fermi energy: 0.412 states/eV per atom
VASP energy: -78.19 eV per cell

abc: 4.1200 9.1709 9.5467
angles: 102.71 90.00 90.00
Closest atoms and distances in Å follow each position.
Atoms (fractional coordinates):
Pm (0.2500, 0.8420, 0.4872)  3 N 2.28-2.36
Pm (0.2500, 0.5782, 0.8598)  3 Pt 2.82-2.88
Pm (0.7500, 0.1580, 0.5128)  3 N 2.28-2.36
Pm (0.7500, 0.4218, 0.1402)  3 Pt 2.82-2.88
Pm (0.2500, 0.1272, 0.8372)  1 N 2.21
Pm (0.7500, 0.8728, 0.1628)  1 N 2.21
Pt (0.2500, 0.6457, 0.1622)  5 Pm 2.82-2.93
Pt (0.7500, 0.3543, 0.8378)  5 Pm 2.82-2.93
Te (0.7500, 0.8306, 0.7835)  7 Pm 3.30-3.56
Te (0.2500, 0.1694, 0.2165)  7 Pm 3.30-3.56
N (0.2500, 0.0884, 0.6000)  4 Pm 2.21-2.36
N (0.7500, 0.9116, 0.4000)  4 Pm 2.21-2.36

***

Here is crystalline Pm2ThPtN4 at its relaxed geometry from Alexandria via LeMat-Bulk. Energies are from PBE-GGA.

DOS at the Fermi energy: 0.599 states/eV per atom
VASP energy: -127.35 eV per cell

abc: 3.5073 6.2210 12.0555
angles: 90.00 90.00 106.37
Closest atoms and distances in Å follow each position.
Atoms (fractional coordinates):
N (0.0000, 0.0000, 0.0000)  4 Pm 2.41
N (0.2862, 0.5724, 0.1325)  1 Pt 2.16
N (0.2862, 0.5724, 0.3675)  1 Pt 2.16
N (0.5418, 0.0835, 0.2500)  2 Pt 2.18
N (0.4582, 0.9165, 0.7500)  2 Pt 2.18
N (0.7138, 0.4276, 0.6325)  1 Pt 2.16
N (0.0000, 0.0000, 0.5000)  4 Pm 2.41
N (0.7138, 0.4276, 0.8675)  1 Pt 2.16
Th (0.1129, 0.2257, 0.7500)  6 N 2.55-2.56
Th (0.8871, 0.7743, 0.2500)  6 N 2.55-2.56
Pm (0.3718, 0.7435, 0.9487)  4 N 2.41-2.61
Pm (0.6282, 0.2565, 0.4487)  4 N 2.41-2.61
Pm (0.6282, 0.2565, 0.0513)  4 N 2.41-2.61
Pm (0.3718, 0.7435, 0.5513)  4 N 2.41-2.61
Pt (0.1498, 0.2995, 0.2500)  4 N 2.16-2.18
Pt (0.8502, 0.7005, 0.7500)  4 N 2.16-2.18

***

Here is crystalline PmZr2PtN4 at its relaxed geometry from Alexandria via LeMat-Bulk. Energies are from PBE-GGA.

DOS at the Fermi energy: 0.227 states/eV per atom
VASP energy: -138.31 eV per cell

abc: 3.3000 5.9174 11.5583
angles: 90.00 90.00 106.19
Closest atoms and distances in Å follow each position.
Atoms (fractional coordinates):
N (0.2728, 0.5457, 0.3917)  1 Zr 2.13, 1 Pt 2.18
N (0.0000, 0.0000, 0.0000)  4 Zr 2.29
N (0.7272, 0.4543, 0.6083)  1 Zr 2.13, 1 Pt 2.18
N (0.4646, 0.9291, 0.7500)  2 Pt 2.08
N (0.7272, 0.4543, 0.8917)  1 Zr 2.13, 1 Pt 2.18
N (0.5354, 0.0709, 0.2500)  2 Pt 2.08
N (0.0000, 0.0000, 0.5000)  4 Zr 2.29
N (0.2728, 0.5457, 0.1083)  1 Zr 2.13, 1 Pt 2.18
Zr (0.3697, 0.7394, 0.5497)  3 N 2.13-2.29
Zr (0.3697, 0.7394, 0.9503)  3 N 2.13-2.29
Zr (0.6303, 0.2606, 0.0497)  3 N 2.13-2.29
Zr (0.6303, 0.2606, 0.4503)  3 N 2.13-2.29
Pm (0.8824, 0.7648, 0.2500)  6 N 2.40-2.64
Pm (0.1176, 0.2352, 0.7500)  6 N 2.40-2.64
Pt (0.1468, 0.2935, 0.2500)  4 N 2.08-2.18
Pt (0.8532, 0.7065, 0.7500)  4 N 2.08-2.18

***

Mass density across the listed records, respectively: 7284; 10174; 8865 kg/m3.